Entry 1:
DFT (PBE) results for crystalline ZrPI at its relaxed geometry.

The energy above the most stable polymorph in this dataset is 74 meV per atom. The density of states at the Fermi level is 2.2 states/eV/cell. Its magnetization is 0.00 μB/atom. For the uncorrected formation energy, the calculation gives -0.88 eV/atom.

It has space group P1 (No. 1), with a = 3.761 Å, b = 4.769 Å, c = 11.147 Å, α = 86.31°, β = 83.16° and γ = 66.79°. Symmetry generates all atoms from Zr at (0.000, 0.000, 0.000), Zr at (0.327, 0.521, 0.751), P at (0.307, 0.405, 0.973), P at (0.604, 0.919, 0.820), I at (0.515, 0.828, 0.200) and I at (0.980, 0.353, 0.556).



Entry 2:
DFT (PBE) results for crystalline SrRu2W at its relaxed geometry.

The energy above the most stable polymorph in this dataset is 0 meV per atom. The density of states at the Fermi level is 3.7 states/eV/cell. Its energy of formation from the pure elements is 278 meV/atom. Its magnetization is 0.00 μB/atom.

It has space group P2/m (No. 10), with a = 3.152 Å, b = 3.160 Å, c = 7.608 Å, α = 90.00°, β = 90.10° and γ = 90.00°. Symmetry generates all atoms from Sr at (0.000, 0.000, 0.000), Ru at (0.499, 0.500, 0.311) and W at (0.000, 0.000, 0.500).



Entry 3:
DFT (PBE) results for crystalline Li3Mg3Cu at its relaxed geometry.

The energy above the most stable polymorph in this dataset is 5 meV per atom. The density of states at the Fermi level is 5.9 states/eV/cell. Its energy of formation from the pure elements is -13 meV/atom. Its magnetization is 0.00 μB/atom.

It has space group P6_3/mmc (No. 194), with a = 8.0977 Å, b = 8.0977 Å, c = 4.6382 Å, α = 90.00°, β = 90.00° and γ = 120.00°. Symmetry generates all atoms from Li at (0.1084, 0.5542, 0.2500), Mg at (0.1427, 0.2855, 0.7500) and Cu at (0.3333, 0.6667, 0.7500).



Entry 4:
DFT (PBE) results for crystalline NaNdIn4 at its relaxed geometry.

The energy above the most stable polymorph in this dataset is 48 meV per atom. The density of states at the Fermi level is 15.6 states/eV/cell. Its energy of formation from the pure elements is -223 meV/atom. Its magnetization is 0.00 μB/atom.

It has space group F-43m (No. 216), with a = 8.672 Å, b = 8.672 Å, c = 8.672 Å, α = 90.00°, β = 90.00° and γ = 90.00°. Symmetry generates all atoms from Na at (0.000, 0.000, 0.000), Nd at (0.250, 0.250, 0.250) and In at (0.125, 0.125, 0.625).